Below is a geometry-optimized AlCu2Rh structure, with properties calculated at the PBE level.

Lattice parameters (Å, degrees): 9.534 9.534 9.534 158.80 158.80 30.16
Atoms (fractional coordinates):
Al 0.000 0.000 0.000
Al 0.750 0.250 0.500
Cu 0.124 0.625 0.999
Cu 0.375 0.374 0.499
Cu 0.626 0.125 0.001
Cu 0.875 0.876 0.501
Rh 0.250 0.750 0.500
Rh 0.500 0.500 0.000

Calculated values
- Energy of formation: -9.9 kJ/mol of atoms